Entry 1:
The following is a PBE-GGA calculation of Ca2Nd2ZnPd4 after structural relaxation, from Alexandria.

Symmetry: I4/mmm
Energy of formation from the pure elements, kJ/mol of formula units: -346
Total DFT energy (no corrections), eV/f.u.: -39.17

abc: 6.600 6.600 6.600
angles: 115.85 115.85 97.36
Fractional coordinates of all 9 atoms:
Ca 0.250 0.750 0.500
Ca 0.750 0.250 0.500
Nd 0.187 0.187 0.000
Nd 0.813 0.813 0.000
Zn 0.500 0.500 0.000
Pd 0.245 0.245 0.491
Pd 0.245 0.755 0.000
Pd 0.755 0.245 0.000
Pd 0.755 0.755 0.509


Entry 2:
The following is a PBE-GGA calculation of CaNdZnPd after structural relaxation, from Alexandria.

Distance to the lowest polymorph of the same formula, meV/atom: 0
Symmetry: Amm2
Energy of formation from the pure elements, kJ/mol of formula units: -203
Total DFT energy (no corrections), eV/f.u.: -15.34

abc: 4.339 6.046 6.046
angles: 39.43 90.00 90.00
Fractional coordinates of all 4 atoms:
Ca 0.000 0.000 0.000
Nd 0.500 0.717 0.717
Zn 0.500 0.428 0.428
Pd 0.000 0.283 0.283


Entry 3:
The following is a PBE-GGA calculation of CaNdZnPd after structural relaxation, from Alexandria.

Distance to the lowest polymorph of the same formula, meV/atom: 23
Symmetry: F-43m
Energy of formation from the pure elements, kJ/mol of formula units: -194
Total DFT energy (no corrections), eV/f.u.: -15.25

abc: 5.115 5.115 5.115
angles: 60.00 60.00 60.00
Fractional coordinates of all 4 atoms:
Ca 0.000 0.000 0.000
Nd 0.500 0.500 0.500
Zn 0.250 0.250 0.250
Pd 0.750 0.750 0.750


Entry 4:
The following is a PBE-GGA calculation of Ca2Pm2Nd15 after structural relaxation, from Alexandria.

Symmetry: R-3m
Energy of formation from the pure elements, kJ/mol of formula units: 423
Total DFT energy (no corrections), eV/f.u.: -80.64

abc: 9.015 9.015 9.015
angles: 81.17 81.17 81.17
Fractional coordinates of all 19 atoms:
Ca 0.168 0.168 0.168
Ca 0.832 0.832 0.832
Pm 0.407 0.407 0.407
Pm 0.593 0.593 0.593
Nd 0.000 0.500 0.500
Nd 0.136 0.136 0.648
Nd 0.136 0.648 0.136
Nd 0.203 0.500 0.797
Nd 0.203 0.797 0.500
Nd 0.352 0.864 0.864
Nd 0.500 0.000 0.500
Nd 0.500 0.203 0.797
Nd 0.500 0.500 0.000
Nd 0.500 0.797 0.203
Nd 0.648 0.136 0.136
Nd 0.797 0.203 0.500
Nd 0.797 0.500 0.203
Nd 0.864 0.352 0.864
Nd 0.864 0.864 0.352


Entry 5:
The following is a PBE-GGA calculation of CaPmNd2 after structural relaxation, from Alexandria.

Distance to the lowest polymorph of the same formula, meV/atom: 1
Symmetry: R-3m
Energy of formation from the pure elements, kJ/mol of formula units: 14
Total DFT energy (no corrections), eV/f.u.: -16.14

abc: 12.458 12.458 12.458
angles: 17.07 17.07 17.07
Fractional coordinates of all 4 atoms:
Ca 0.000 0.000 0.000
Pm 0.500 0.500 0.500
Nd 0.246 0.246 0.246
Nd 0.754 0.754 0.754


Entry 6:
The following is a PBE-GGA calculation of CaPm5Nd6 after structural relaxation, from Alexandria.

Symmetry: Immm
Energy of formation from the pure elements, kJ/mol of formula units: 32
Total DFT energy (no corrections), eV/f.u.: -54.03

abc: 9.745 9.745 9.745
angles: 149.02 115.30 73.46
Fractional coordinates of all 12 atoms:
Ca 0.000 0.000 0.000
Pm 0.171 0.671 0.500
Pm 0.333 0.333 0.000
Pm 0.500 0.000 0.500
Pm 0.667 0.667 0.000
Pm 0.829 0.329 0.500
Nd 0.084 0.831 0.253
Nd 0.257 0.500 0.757
Nd 0.421 0.169 0.253
Nd 0.579 0.831 0.747
Nd 0.743 0.500 0.243
Nd 0.916 0.169 0.747


Entry 7:
The following is a PBE-GGA calculation of CaPm2Nd7 after structural relaxation, from Alexandria.

Symmetry: Cmmm
Energy of formation from the pure elements, kJ/mol of formula units: 565
Total DFT energy (no corrections), eV/f.u.: -39.02

abc: 9.313 9.313 5.753
angles: 90.00 90.00 121.86
Fractional coordinates of all 10 atoms:
Ca 0.000 0.000 0.000
Pm 0.297 0.703 0.500
Pm 0.703 0.297 0.500
Nd 0.064 0.300 0.500
Nd 0.239 0.761 0.000
Nd 0.300 0.064 0.500
Nd 0.500 0.500 0.500
Nd 0.700 0.936 0.500
Nd 0.761 0.239 0.000
Nd 0.936 0.700 0.500


Entry 8:
The following is a PBE-GGA calculation of CaPm4Nd after structural relaxation, from Alexandria.

Distance to the lowest polymorph of the same formula, meV/atom: 162
Symmetry: F-43m
Energy of formation from the pure elements, kJ/mol of formula units: 116
Total DFT energy (no corrections), eV/f.u.: -24.57

abc: 6.809 6.809 6.809
angles: 60.00 60.00 60.00
Fractional coordinates of all 6 atoms:
Ca 0.000 0.000 0.000
Pm 0.376 0.376 0.376
Pm 0.376 0.376 0.871
Pm 0.376 0.871 0.376
Pm 0.871 0.376 0.376
Nd 0.750 0.750 0.750


Entry 9:
The following is a PBE-GGA calculation of Ca2Pm6Nd3 after structural relaxation, from Alexandria.

Symmetry: R-3m
Energy of formation from the pure elements, kJ/mol of formula units: 31
Total DFT energy (no corrections), eV/f.u.: -46.49

abc: 33.536 33.536 33.536
angles: 6.30 6.30 6.30
Fractional coordinates of all 11 atoms:
Ca 0.046 0.046 0.046
Ca 0.954 0.954 0.954
Pm 0.137 0.137 0.137
Pm 0.319 0.319 0.319
Pm 0.411 0.411 0.411
Pm 0.589 0.589 0.589
Pm 0.681 0.681 0.681
Pm 0.863 0.863 0.863
Nd 0.226 0.226 0.226
Nd 0.500 0.500 0.500
Nd 0.774 0.774 0.774


Entry 10:
The following is a PBE-GGA calculation of Ca2Pm2Nd3 after structural relaxation, from Alexandria.

Symmetry: C2/m
Energy of formation from the pure elements, kJ/mol of formula units: 55
Total DFT energy (no corrections), eV/f.u.: -27.24

abc: 6.427 6.427 8.242
angles: 98.15 98.15 48.68
Fractional coordinates of all 7 atoms:
Ca 0.069 0.069 0.216
Ca 0.931 0.931 0.784
Pm 0.219 0.219 0.643
Pm 0.781 0.781 0.357
Nd 0.349 0.349 0.076
Nd 0.500 0.500 0.500
Nd 0.651 0.651 0.924


Entry 11:
The following is a PBE-GGA calculation of CaPmNd2 after structural relaxation, from Alexandria.

Distance to the lowest polymorph of the same formula, meV/atom: 5
Symmetry: P4/mmm
Energy of formation from the pure elements, kJ/mol of formula units: 16
Total DFT energy (no corrections), eV/f.u.: -16.13

abc: 3.699 3.699 10.624
angles: 90.00 90.00 90.00
Fractional coordinates of all 4 atoms:
Ca 0.000 0.000 0.000
Pm 0.000 0.000 0.500
Nd 0.500 0.500 0.265
Nd 0.500 0.500 0.735


Entry 12:
The following is a PBE-GGA calculation of CaPmNd2 after structural relaxation, from Alexandria.

Distance to the lowest polymorph of the same formula, meV/atom: 93
Symmetry: Fm-3m
Energy of formation from the pure elements, kJ/mol of formula units: 49
Total DFT energy (no corrections), eV/f.u.: -15.77

abc: 5.894 5.894 5.894
angles: 60.00 60.00 60.00
Fractional coordinates of all 4 atoms:
Ca 0.000 0.000 0.000
Pm 0.500 0.500 0.500
Nd 0.250 0.250 0.250
Nd 0.750 0.750 0.750


Entry 13:
The following is a PBE-GGA calculation of CaPm4Nd7 after structural relaxation, from Alexandria.

Distance to the lowest polymorph of the same formula, meV/atom: 0
Symmetry: P-1
Energy of formation from the pure elements, kJ/mol of formula units: 31
Total DFT energy (no corrections), eV/f.u.: -54.06

abc: 6.428 7.410 9.202
angles: 90.02 103.51 90.06
Fractional coordinates of all 12 atoms:
Ca 0.000 0.000 0.000
Pm 0.220 0.499 0.670
Pm 0.283 0.746 0.335
Pm 0.717 0.254 0.665
Pm 0.780 0.501 0.330
Nd 0.000 0.500 0.000
Nd 0.225 0.999 0.660
Nd 0.283 0.255 0.335
Nd 0.500 0.256 0.000
Nd 0.500 0.744 0.000
Nd 0.717 0.745 0.665
Nd 0.775 0.001 0.340


Entry 14:
The following is a PBE-GGA calculation of Ca2PmNd4 after structural relaxation, from Alexandria.

Distance to the lowest polymorph of the same formula, meV/atom: 0
Symmetry: Immm
Energy of formation from the pure elements, kJ/mol of formula units: 76
Total DFT energy (no corrections), eV/f.u.: -27.04

abc: 12.471 12.471 12.471
angles: 163.42 152.32 32.44
Fractional coordinates of all 7 atoms:
Ca 0.221 0.221 0.000
Ca 0.779 0.779 0.000
Pm 0.500 0.500 0.000
Nd 0.080 0.580 0.500
Nd 0.369 0.869 0.500
Nd 0.631 0.131 0.500
Nd 0.920 0.420 0.500


Entry 15:
The following is a PBE-GGA calculation of CaPm3Nd12 after structural relaxation, from Alexandria.

Symmetry: P4/mmm
Energy of formation from the pure elements, kJ/mol of formula units: 40
Total DFT energy (no corrections), eV/f.u.: -73.05

abc: 5.215 5.215 20.816
angles: 90.00 90.00 90.00
Fractional coordinates of all 16 atoms:
Ca 0.000 0.000 0.000
Pm 0.000 0.000 0.251
Pm 0.000 0.000 0.500
Pm 0.000 0.000 0.749
Nd 0.000 0.500 0.129
Nd 0.000 0.500 0.376
Nd 0.000 0.500 0.624
Nd 0.000 0.500 0.871
Nd 0.500 0.000 0.129
Nd 0.500 0.000 0.376
Nd 0.500 0.000 0.624
Nd 0.500 0.000 0.871
Nd 0.500 0.500 0.000
Nd 0.500 0.500 0.250
Nd 0.500 0.500 0.500
Nd 0.500 0.500 0.750


Entry 16:
The following is a PBE-GGA calculation of CaPm4Nd8 after structural relaxation, from Alexandria.

Symmetry: C2/m
Energy of formation from the pure elements, kJ/mol of formula units: 36
Total DFT energy (no corrections), eV/f.u.: -58.77

abc: 6.382 6.382 15.163
angles: 93.95 93.95 48.33
Fractional coordinates of all 13 atoms:
Ca 0.000 0.000 0.000
Pm 0.153 0.153 0.538
Pm 0.380 0.380 0.841
Pm 0.620 0.620 0.159
Pm 0.847 0.847 0.462
Nd 0.077 0.077 0.767
Nd 0.232 0.232 0.308
Nd 0.306 0.306 0.080
Nd 0.461 0.461 0.615
Nd 0.539 0.539 0.385
Nd 0.694 0.694 0.920
Nd 0.768 0.768 0.692
Nd 0.923 0.923 0.233


Entry 17:
The following is a PBE-GGA calculation of CaPm5Nd12 after structural relaxation, from Alexandria.

Symmetry: C2/m
Energy of formation from the pure elements, kJ/mol of formula units: 184
Total DFT energy (no corrections), eV/f.u.: -81.07

abc: 10.652 10.652 6.089
angles: 90.29 90.29 112.74
Fractional coordinates of all 18 atoms:
Ca 0.000 0.000 0.000
Pm 0.172 0.828 0.500
Pm 0.320 0.680 0.000
Pm 0.500 0.500 0.500
Pm 0.680 0.320 0.000
Pm 0.828 0.172 0.500
Nd 0.019 0.341 0.944
Nd 0.157 0.488 0.441
Nd 0.172 0.172 0.520
Nd 0.341 0.019 0.944
Nd 0.348 0.348 0.023
Nd 0.488 0.157 0.441
Nd 0.512 0.843 0.559
Nd 0.652 0.652 0.977
Nd 0.659 0.981 0.056
Nd 0.828 0.828 0.480
Nd 0.843 0.512 0.559
Nd 0.981 0.659 0.056


Entry 18:
The following is a PBE-GGA calculation of Ca2PmNd6 after structural relaxation, from Alexandria.

Symmetry: Immm
Energy of formation from the pure elements, kJ/mol of formula units: 156
Total DFT energy (no corrections), eV/f.u.: -35.75

abc: 10.466 10.466 10.466
angles: 160.88 117.58 65.93
Fractional coordinates of all 9 atoms:
Ca 0.160 0.160 0.000
Ca 0.840 0.840 0.000
Pm 0.500 0.500 0.000
Nd 0.153 0.334 0.819
Nd 0.205 0.000 0.205
Nd 0.486 0.666 0.819
Nd 0.514 0.334 0.181
Nd 0.795 0.000 0.795
Nd 0.847 0.666 0.181


Entry 19:
The following is a PBE-GGA calculation of CaPmNd5 after structural relaxation, from Alexandria.

Symmetry: P4/mmm
Energy of formation from the pure elements, kJ/mol of formula units: 190
Total DFT energy (no corrections), eV/f.u.: -28.62

abc: 5.831 5.831 7.804
angles: 90.00 90.00 90.00
Fractional coordinates of all 7 atoms:
Ca 0.000 0.000 0.000
Pm 0.500 0.500 0.500
Nd 0.000 0.500 0.280
Nd 0.000 0.500 0.720
Nd 0.500 0.000 0.280
Nd 0.500 0.000 0.720
Nd 0.500 0.500 0.000


Entry 20:
The following is a PBE-GGA calculation of CaPm2Nd2 after structural relaxation, from Alexandria.

Distance to the lowest polymorph of the same formula, meV/atom: 0
Symmetry: R-3m
Energy of formation from the pure elements, kJ/mol of formula units: 16
Total DFT energy (no corrections), eV/f.u.: -20.87

abc: 15.381 15.381 15.381
angles: 13.80 13.80 13.80
Fractional coordinates of all 5 atoms:
Ca 0.000 0.000 0.000
Pm 0.403 0.403 0.403
Pm 0.597 0.597 0.597
Nd 0.200 0.200 0.200
Nd 0.800 0.800 0.800


Record-wise total moment values, in μB/cell: 0.00; 0.00; 0.00; 0.00; 0.00; 0.00; 0.00; 0.00; 0.00; 0.00; 0.00; 0.00; 0.00; 0.00; 0.00; 0.00; 0.00; 0.00; 0.00; 0.00